Entry 1:
NbVNi: relaxed, PBE.

## Properties
Its formation energy is 0.03 eV/atom. Its energy above the most stable polymorph in this dataset is 0.211 eV per atom. As for the space-group type: Cm. Its magnetic moment is 3.06 Bohr magnetons per cell. The density of states at the Fermi level comes out at 15.5 states/eV per cell.

Lattice parameters (Å, degrees): 8.5462 5.0017 4.9648 90.00 124.37 90.00
Closest atoms and distances in Å follow each position.
Sites, in units of the cell vectors:
Nb 0.0000 0.0000 0.0000  2 V 2.48-2.49, 4 Ni 2.49-2.53
Nb 0.1141 0.5000 0.8559  6 Ni 2.86-2.99, 7 V 2.92-3.09, 3 Nb 2.92-2.95
Nb 0.5000 0.5000 0.0000  2 V 2.48-2.49, 4 Ni 2.49-2.53
Nb 0.6141 0.0000 0.8559  6 Ni 2.86-2.99, 7 V 2.92-3.09, 3 Nb 2.92-2.95
V 0.3722 0.0000 0.1185  7 Nb 2.89-3.09, 6 Ni 2.91-2.94, 3 V 2.93-2.98
V 0.4902 0.5000 0.4900  4 Ni 2.47-2.49, 2 Nb 2.48-2.49
V 0.8722 0.5000 0.1185  7 Nb 2.89-3.09, 6 Ni 2.91-2.94, 3 V 2.93-2.98
V 0.9902 0.0000 0.4900  4 Ni 2.47-2.49, 2 Nb 2.48-2.49
Ni 0.2440 0.2504 0.4982  2 V 2.47-2.49, 2 Nb 2.49-2.53, 2 Ni 2.50
Ni 0.2440 0.7496 0.4982  2 V 2.47-2.49, 2 Nb 2.49-2.53, 2 Ni 2.50
Ni 0.7440 0.2496 0.4982  2 V 2.47-2.49, 2 Nb 2.49-2.53, 2 Ni 2.50
Ni 0.7440 0.7504 0.4982  2 V 2.47-2.49, 2 Nb 2.49-2.53, 2 Ni 2.50

Entry 2:
Nb4V4Ni: relaxed, PBE.

## Properties
Its formation energy is 0.21 eV/atom. As for the space-group type: Fmm2. Its magnetic moment is 0.00 Bohr magnetons per cell. The density of states at the Fermi level comes out at 10.2 states/eV per cell.

Lattice parameters (Å, degrees): 7.2151 7.2109 4.7653 70.76 70.66 38.58
Closest atoms and distances in Å follow each position.
Sites, in units of the cell vectors:
Nb 0.1270 0.6124 0.8730  2 V 2.62, 1 Ni 2.87, 4 Nb 2.90-2.91
Nb 0.2421 0.7579 0.2421  2 V 2.63, 1 Ni 2.87, 4 Nb 2.90-2.91
Nb 0.6124 0.1270 0.3876  2 V 2.62, 1 Ni 2.87, 4 Nb 2.90-2.91
Nb 0.7579 0.2421 0.7579  2 V 2.63, 1 Ni 2.87, 4 Nb 2.90-2.91
V 0.4141 0.8116 0.5859  1 Ni 2.23
V 0.5580 0.9560 0.0440  1 Ni 2.23
V 0.8116 0.4141 0.1884  1 Ni 2.23
V 0.9560 0.5580 0.4420  1 Ni 2.23
Ni 0.1850 0.1850 0.8150  4 V 2.23

Entry 3:
NbVNi2: relaxed, PBE.

## Properties
Its formation energy is -0.15 eV/atom. Its energy above the most stable polymorph in this dataset is 0.000 eV per atom. As for the space-group type: P4/mmm. Its magnetic moment is 0.00 Bohr magnetons per cell. The density of states at the Fermi level comes out at 3.7 states/eV per cell.

Lattice parameters (Å, degrees): 3.7269 3.7269 3.8060 90.00 90.00 90.00
Closest atoms and distances in Å follow each position.
Sites, in units of the cell vectors:
Nb 0.0000 0.0000 0.0000  4 V 2.64, 8 Ni 2.66
V 0.5000 0.5000 0.0000  4 Nb 2.64, 8 Ni 2.66
Ni 0.0000 0.5000 0.5000  4 Ni 2.64, 4 V 2.66, 4 Nb 2.66
Ni 0.5000 0.0000 0.5000  4 Ni 2.64, 4 V 2.66, 4 Nb 2.66

Entry 4:
Nb3VNi: relaxed, PBE.

## Properties
Its formation energy is 1.17 eV/atom. Its energy above the most stable polymorph in this dataset is 0.186 eV per atom. As for the space-group type: Pm-3m. Its magnetic moment is 0.02 Bohr magnetons per cell. The density of states at the Fermi level comes out at 9.3 states/eV per cell.

Lattice parameters (Å, degrees): 4.5905 4.5905 4.5905 90.00 90.00 90.00
Closest atoms and distances in Å follow each position.
Sites, in units of the cell vectors:
Nb 0.0000 0.0000 0.5000  2 V 2.30
Nb 0.0000 0.5000 0.0000  2 V 2.30
Nb 0.5000 0.0000 0.0000  2 V 2.30
V 0.0000 0.0000 0.0000  6 Nb 2.30
Ni 0.5000 0.5000 0.5000  12 Nb 3.25

Entry 5:
NbV2Ni: relaxed, PBE.

## Properties
Its formation energy is 0.38 eV/atom. Its energy above the most stable polymorph in this dataset is 0.377 eV per atom. As for the space-group type: I-42d. Its magnetic moment is 0.00 Bohr magnetons per cell. The density of states at the Fermi level comes out at 20.3 states/eV per cell.

Lattice parameters (Å, degrees): 6.8454 6.8454 5.0829 90.00 90.00 90.00
Closest atoms and distances in Å follow each position.
Sites, in units of the cell vectors:
Nb 0.0000 0.0000 0.0000  2 Ni 2.54, 4 V 2.63
Nb 0.0000 0.5000 0.2500  2 Ni 2.54, 4 V 2.63
Nb 0.5000 0.0000 0.7500  2 Ni 2.54, 4 V 2.63
Nb 0.5000 0.5000 0.5000  2 Ni 2.54, 4 V 2.63
V 0.2240 0.2500 0.6250  2 Ni 2.38, 2 V 2.57, 2 Nb 2.63
V 0.2500 0.7240 0.8750  2 Ni 2.38, 2 V 2.57, 2 Nb 2.63
V 0.2500 0.7760 0.3750  2 Ni 2.38, 2 V 2.57, 2 Nb 2.63
V 0.2760 0.2500 0.1250  2 Ni 2.38, 2 V 2.57, 2 Nb 2.63
V 0.7240 0.7500 0.1250  2 Ni 2.38, 2 V 2.57, 2 Nb 2.63
V 0.7500 0.2240 0.3750  2 Ni 2.38, 2 V 2.57, 2 Nb 2.63
V 0.7500 0.2760 0.8750  2 Ni 2.38, 2 V 2.57, 2 Nb 2.63
V 0.7760 0.7500 0.6250  2 Ni 2.38, 2 V 2.57, 2 Nb 2.63
Ni 0.0000 0.0000 0.5000  4 V 2.38, 2 Nb 2.54
Ni 0.0000 0.5000 0.7500  4 V 2.38, 2 Nb 2.54
Ni 0.5000 0.0000 0.2500  4 V 2.38, 2 Nb 2.54
Ni 0.5000 0.5000 0.0000  4 V 2.38, 2 Nb 2.54

Entry 6:
NbVNi: relaxed, PBE.

## Properties
Its formation energy is 0.03 eV/atom. Its energy above the most stable polymorph in this dataset is 0.216 eV per atom. As for the space-group type: Cm. Its magnetic moment is 0.00 Bohr magnetons per cell. The density of states at the Fermi level comes out at 9.7 states/eV per cell.

Lattice parameters (Å, degrees): 8.3504 4.3294 5.0260 90.00 107.49 90.00
Closest atoms and distances in Å follow each position.
Sites, in units of the cell vectors:
Nb 0.0000 0.0000 0.0000  2 V 2.54-2.63, 5 Ni 2.55-2.82
Nb 0.2315 0.5000 0.3970  6 V 2.56-2.81, 2 Ni 2.57-2.64
Nb 0.5000 0.5000 0.0000  2 V 2.54-2.63, 5 Ni 2.55-2.82
Nb 0.7315 0.0000 0.3970  6 V 2.56-2.81, 2 Ni 2.57-2.64
V 0.0746 0.0000 0.5276  1 Ni 2.36, 2 Nb 2.54-2.63, 2 V 2.59
V 0.3969 0.0000 0.4073  3 Ni 2.48-2.65, 2 Nb 2.56, 2 V 2.59
V 0.5746 0.5000 0.5276  1 Ni 2.36, 2 Nb 2.54-2.63, 2 V 2.59
V 0.8969 0.5000 0.4073  3 Ni 2.48-2.65, 2 Nb 2.56, 2 V 2.59
Ni 0.1464 0.5000 0.8619  5 Nb 2.57-2.82, 3 V 2.59-2.69, 3 Ni 2.63-2.69
Ni 0.3304 0.0000 0.8913  2 V 2.36-2.48, 2 Nb 2.55, 2 Ni 2.63
Ni 0.6464 0.0000 0.8619  5 Nb 2.57-2.82, 3 V 2.59-2.69, 3 Ni 2.63-2.69
Ni 0.8304 0.5000 0.8913  2 V 2.36-2.48, 2 Nb 2.55, 2 Ni 2.63

Entry 7:
NbVNi4: relaxed, PBE.

## Properties
Its formation energy is -0.23 eV/atom. Its energy above the most stable polymorph in this dataset is 0.000 eV per atom. As for the space-group type: C2/m. Its magnetic moment is 0.00 Bohr magnetons per cell. The density of states at the Fermi level comes out at 10.7 states/eV per cell.

Lattice parameters (Å, degrees): 8.2156 3.6257 5.2511 90.00 108.94 90.00
Closest atoms and distances in Å follow each position.
Sites, in units of the cell vectors:
Nb 0.0000 0.0000 0.0000  10 Ni 2.59-2.63, 2 V 2.63
Nb 0.5000 0.5000 0.0000  10 Ni 2.59-2.63, 2 V 2.63
V 0.0000 0.0000 0.5000  10 Ni 2.54-2.60, 2 Nb 2.63
V 0.5000 0.5000 0.5000  10 Ni 2.54-2.60, 2 Nb 2.63
Ni 0.1668 0.5000 0.8239  7 Ni 2.54-2.71, 2 V 2.56, 3 Nb 2.59-2.62
Ni 0.1732 0.5000 0.3435  7 Ni 2.50-2.71, 3 V 2.54-2.60, 2 Nb 2.63
Ni 0.3268 0.0000 0.6565  7 Ni 2.50-2.71, 3 V 2.54-2.60, 2 Nb 2.63
Ni 0.3332 0.0000 0.1761  7 Ni 2.54-2.71, 2 V 2.56, 3 Nb 2.59-2.62
Ni 0.6668 0.0000 0.8239  7 Ni 2.54-2.71, 2 V 2.56, 3 Nb 2.59-2.62
Ni 0.6732 0.0000 0.3435  7 Ni 2.50-2.71, 3 V 2.54-2.60, 2 Nb 2.63
Ni 0.8268 0.5000 0.6565  7 Ni 2.50-2.71, 3 V 2.54-2.60, 2 Nb 2.63
Ni 0.8332 0.5000 0.1761  7 Ni 2.54-2.71, 2 V 2.56, 3 Nb 2.59-2.62

Entry 8:
Nb2V4Ni: relaxed, PBE.

## Properties
Its formation energy is 0.93 eV/atom. As for the space-group type: I4/mmm. Its magnetic moment is 0.00 Bohr magnetons per cell. The density of states at the Fermi level comes out at 21.6 states/eV per cell.

Lattice parameters (Å, degrees): 4.3173 4.3173 12.7804 90.00 90.00 90.00
Closest atoms and distances in Å follow each position.
Sites, in units of the cell vectors:
Nb 0.0000 0.0000 0.1253  5 V 2.47-2.69
Nb 0.0000 0.0000 0.8747  5 V 2.47-2.69
Nb 0.5000 0.5000 0.3747  5 V 2.47-2.69
Nb 0.5000 0.5000 0.6253  5 V 2.47-2.69
V 0.0000 0.0000 0.3182  1 Ni 2.32, 1 Nb 2.47
V 0.0000 0.0000 0.6818  1 Ni 2.32, 1 Nb 2.47
V 0.0000 0.5000 0.0000  2 Ni 2.16
V 0.0000 0.5000 0.5000  2 Ni 2.16
V 0.5000 0.0000 0.0000  2 Ni 2.16
V 0.5000 0.0000 0.5000  2 Ni 2.16
V 0.5000 0.5000 0.1818  1 Ni 2.32, 1 Nb 2.47
V 0.5000 0.5000 0.8182  1 Ni 2.32, 1 Nb 2.47
Ni 0.0000 0.0000 0.5000  6 V 2.16-2.32
Ni 0.5000 0.5000 0.0000  6 V 2.16-2.32